Rb2CaTaSe4 | PBE | relaxed

Cell lengths 7.313, 7.313, 7.313 Å; angles 100.40, 114.19, 114.19 degrees
Sites, in units of the cell vectors:
Se  0.617  0.408  0.462
Se  0.946  0.538  0.155
Se  0.383  0.845  0.791
Se  0.054  0.209  0.592
Rb  0.000  0.000  0.000
Rb  0.500  0.750  0.250
Ca  0.500  0.250  0.750
Ta  0.000  0.500  0.500

The density of states at the Fermi level is 3.95 states/eV per cell. The space group is I-4 (82). The formation energy without anion corrections comes out at -1.088 eV per atom. The energy comes out at -38.43 eV per cell. As for the crystal system: tetragonal.